[1]
## Na2CuPtO4 (PBE)

Data for Na2CuPtO4 after structural relaxation.

abc: 5.9625 5.9625 6.0222
angles: 90.00 90.00 90.00
Space group I-42m (No. 121)
Inequivalent atoms, fractional coordinates:
1 Na 0.0000 0.5000 0.0000
2 Cu 0.0000 0.0000 0.0000
3 Pt 0.0000 0.0000 0.5000
4 O 0.1513 0.1513 0.7489

Spin magnetization ... 1.99 μB/cell
DFT total energy ... -4.6516 eV/atom
Formation energy without anion corrections ... -0.576 eV/atom

[2]
## Na2CuPt2O6 (PBE)

Data for Na2CuPt2O6 after structural relaxation.

abc: 5.3202 9.6479 5.6467
angles: 90.00 107.34 90.00
Space group C2/m (No. 12)
Inequivalent atoms, fractional coordinates:
1 Na 0.0000 0.1597 0.0000
2 Cu 0.0000 0.0000 0.5000
3 Pt 0.0000 0.3349 0.5000
4 O 0.2309 0.1803 0.6960
5 O 0.2347 0.5000 0.6800

Spin magnetization ... 2.01 μB/cell
DFT total energy ... -5.2922 eV/atom
Formation energy without anion corrections ... -0.877 eV/atom

[3]
## NaCuPtO4 (PBE)

Data for NaCuPtO4 after structural relaxation.

abc: 5.8765 6.3246 9.4760
angles: 90.00 90.00 90.00
Space group Imma (No. 74)
Inequivalent atoms, fractional coordinates:
1 Na 0.0000 0.2500 0.1628
2 Cu 0.2500 0.2500 0.7500
3 Pt 0.0000 0.0000 0.5000
4 O 0.0000 0.0535 0.7109
5 O 0.2146 0.2500 0.4875

Spin magnetization ... 2.56 μB/cell
DFT total energy ... -5.2626 eV/atom
Formation energy without anion corrections ... -0.793 eV/atom

[4]
## Na3CuPt2O6 (PBE)

Data for Na3CuPt2O6 after structural relaxation.

abc: 5.5624 9.6687 5.5151
angles: 90.00 109.58 90.00
Space group C2/m (No. 12)
Inequivalent atoms, fractional coordinates:
1 Na 0.0000 0.0000 0.0000
2 Na 0.0000 0.3391 0.0000
3 Cu 0.0000 0.5000 0.5000
4 Pt 0.0000 0.1670 0.5000
5 O 0.2186 0.0000 0.6996
6 O 0.2420 0.3249 0.7012

Spin magnetization ... 0.45 μB/cell
DFT total energy ... -5.0763 eV/atom
Formation energy without anion corrections ... -0.919 eV/atom

[5]
## Na3Cu2PtO6 (PBE)

Data for Na3Cu2PtO6 after structural relaxation.

abc: 5.3746 9.4073 5.5403
angles: 90.00 108.55 90.00
Space group C2/m (No. 12)
Inequivalent atoms, fractional coordinates:
1 Na 0.0000 0.0000 0.0000
2 Na 0.0000 0.3298 0.0000
3 Cu 0.0000 0.1656 0.5000
4 Pt 0.0000 0.5000 0.5000
5 O 0.2325 0.3382 0.6989
6 O 0.2426 0.0000 0.7044

Spin magnetization ... 6.01 μB/cell
DFT total energy ... -4.9476 eV/atom
Formation energy without anion corrections ... -0.953 eV/atom

[6]
## NaPuCu2O6 (PBE)

Data for NaPuCu2O6 after structural relaxation.

abc: 11.1598 9.2057 6.4456
angles: 90.00 113.03 90.00
Space group C2/c (No. 15)
Inequivalent atoms, fractional coordinates:
1 Na 0.0000 0.1000 0.2500
2 Pu 0.0000 0.2696 0.7500
3 Cu 0.1997 0.4366 0.1282
4 O 0.0673 0.2785 0.0751
5 O 0.1206 0.1059 0.7336
6 O 0.1487 0.4308 0.8033

Spin magnetization ... 4.14 μB/cell
DFT total energy ... -6.7999 eV/atom
Formation energy without anion corrections ... -1.441 eV/atom